1.
A plane-wave DFT calculation with GGA-PBE was carried out for a geometry-optimized Na2CdIn2Hg7 structure.

```
Na2CdIn2Hg7
1.0
-3.254 -1.122 4.392
0.837 -5.469 -0.777
9.158 3.662 4.175
Hg Na In Cd
7 2 2 1
Cartesian
-0.288 -0.549 3.191
4.015 -3.015 5.748
2.715 0.165 2.053
7.045 -2.478 4.585
-1.197 -3.367 1.797
4.986 -0.213 7.184
1.742 -2.630 0.619
2.347 -0.363 5.190
4.390 -2.536 2.604
5.500 0.225 4.132
1.250 -3.211 3.651
0.832 -5.433 -0.772
```

Properties
Density: 9.6 g cm⁻³
ΔE_f: -0.08 eV/atom
SG: No. 44

2.
A plane-wave DFT calculation with GGA-PBE was carried out for a geometry-optimized Cu5Ge3Br12 structure.

```
Cu5Ge3Br12
1.0
-11.458 -5.506 -5.494
11.046 -4.125 -7.265
1.290 -4.184 13.139
Ge Br Cu
12 48 20
Cartesian
5.168 -7.616 5.582
-1.000 -3.461 2.645
-3.916 -6.042 -0.323
2.929 -5.689 -3.316
-1.580 -8.435 -8.614
-8.323 -6.380 -2.431
9.200 -7.436 2.811
4.794 -7.774 0.703
1.878 -10.355 -2.266
-2.051 -8.127 3.696
-4.290 -6.200 -5.203
2.458 -5.381 8.993
-0.364 -11.711 -0.621
-6.555 -8.083 -4.256
-6.250 -7.967 -0.772
0.672 -8.410 -10.683
-4.307 -9.484 5.321
-1.855 -8.137 0.644
1.242 -2.105 1.001
2.263 -5.752 -6.300
4.487 -9.489 3.216
9.195 -4.784 -5.499
5.558 -6.747 -2.075
4.785 -10.083 -1.355
-6.512 -4.458 -0.887
-4.322 -8.511 -7.259
-0.655 -10.624 -3.958
3.470 -8.561 -4.219
4.267 -5.975 3.164
7.620 -9.248 4.757
-8.317 -9.032 5.878
0.206 -5.406 11.063
1.039 -9.493 -7.352
-3.609 -4.327 -2.837
0.556 -9.692 4.265
0.652 -7.554 -2.363
2.003 -9.011 0.518
-1.433 -7.090 -5.832
-0.161 -4.323 7.732
-8.643 -8.010 2.524
7.433 -5.733 4.636
-4.680 -7.069 2.455
2.733 -5.679 -0.264
-2.593 -5.255 4.599
2.310 -6.726 6.211
3.251 -2.765 -2.481
5.199 -5.305 7.639
-3.907 -3.733 1.735
-3.389 -7.841 -2.784
5.184 -4.332 -4.941
1.533 -3.192 4.338
7.390 -9.358 1.267
-1.385 -8.064 6.680
-6.742 -4.568 -4.378
9.521 -5.806 -2.145
0.225 -6.262 2.742
-1.125 -4.805 -0.139
7.128 -5.849 1.152
-2.374 -11.051 2.861
0.322 -4.124 -3.885
-1.374 -3.619 -2.234
6.168 -4.155 2.937
5.523 -2.063 -3.632
7.336 -5.351 -1.208
-0.206 -4.816 -6.379
2.826 -8.097 -6.506
0.645 -2.092 6.569
-1.948 -5.719 6.885
3.032 -3.281 -0.126
-6.458 -8.465 1.588
-6.084 -8.307 6.467
-2.155 -10.535 0.506
6.962 -5.509 -6.088
2.252 -10.197 2.614
2.084 -5.539 4.114
-5.084 -4.845 3.822
-5.729 -2.753 -2.747
0.439 -6.908 0.190
0.000 0.000 0.000
-1.206 -8.277 -3.734
```

Properties
Density: 4.9 g cm⁻³
Raw formation energy: -5.97 eV per formula unit
SG: No. 230

3.
A plane-wave DFT calculation with GGA-PBE was carried out for a geometry-optimized ScSiPt2 structure.

```
ScSiPt2
1.0
5.308 0.000 0.000
0.000 6.961 0.000
0.000 0.000 7.050
Pt Sc Si
8 4 4
Cartesian
2.156 6.616 2.210
0.497 6.616 5.734
3.151 0.345 4.840
2.156 3.826 2.210
4.810 3.135 1.315
4.810 0.345 1.315
3.151 3.135 4.840
0.497 3.826 5.734
3.348 5.221 6.864
0.694 1.740 3.710
4.613 5.221 3.340
1.959 1.740 0.185
3.334 1.740 2.720
1.974 5.221 4.330
4.628 1.740 6.244
0.680 5.221 0.805
```

Properties
Density: 11.8 g cm⁻³
Raw formation energy: -4.55 eV per formula unit
SG: No. 62

4.
A plane-wave DFT calculation with GGA-PBE was carried out for a geometry-optimized La2InW structure.

```
La2InW
1.0
10.528 -0.017 -0.010
9.935 3.485 -0.010
9.935 1.683 3.051
La W In
2 1 1
Cartesian
15.564 2.637 1.552
30.032 5.089 2.994
7.599 1.288 0.758
22.798 3.863 2.273
```

Properties
Density: 8.5 g cm⁻³
ΔE_f: 0.47 eV/atom
SG: No. 166